BaNdCd | the Open Quantum Materials Database | PBE-GGA | optimized geometry; E above lowest polymorph = 0 meV per atom; size of the total moment = 0.6 μB per cell; volume = 41.2 A^3/atom; calculated total energy = -2.40 eV per atom; crystal system = cubic
1.0
0.000 3.953 3.953
3.953 0.000 3.953
3.953 3.953 0.000
Ba Nd Cd
1 1 1
Cartesian
0.000 0.000 0.000
3.953 3.953 3.953
1.976 1.976 1.976